1.
TlZnPb2: optimized geometry, GGA-PBE.

space-group type	No. 6
calculated formation energy	111	meV/atom
DOS at the Fermi energy	1.29	states/eV per cell

Structure (POSCAR):
```
TlZnPb2
1.0
-4.624 -0.450 1.659
1.211 -1.144 3.064
0.647 5.746 3.363
Pb Zn Tl
2 1 1
Cartesian
-1.965 1.020 2.135 Pb
1.559 4.821 5.652 Pb
-1.774 3.932 3.457 Zn
0.990 2.425 3.418 Tl
```

=====

2.
Zr2SiSb: optimized geometry, GGA-PBE.

distance to the lowest polymorph of the same formula	145	meV per atom
space-group type	No. 10
uncorrected formation energy	-0.53	eV per atom
DOS at the Fermi energy	1.98	states/eV per cell

Structure (POSCAR):
```
Zr2SiSb
1.0
3.798 0.000 0.000
0.000 3.553 0.081
0.000 2.104 6.235
Si Zr Sb
1 2 1
Cartesian
1.899 4.242 4.737 Si
0.000 5.474 6.207 Zr
0.000 3.010 3.268 Zr
1.899 1.414 1.579 Sb
```

=====

3.
ThSi2Pd4: optimized geometry, GGA-PBE.

distance to the lowest polymorph of the same formula	0	meV per atom
space-group type	No. 136
uncorrected formation energy	-0.81	eV per atom
DOS at the Fermi energy	6.52	states/eV per cell

Structure (POSCAR):
```
ThSi2Pd4
1.0
3.817 0.000 0.000
0.000 7.922 0.000
0.000 0.000 7.922
Si Pd Th
4 8 2
Cartesian
1.908 2.206 2.206 Si
0.000 6.167 1.754 Si
0.000 1.754 6.167 Si
1.908 5.715 5.715 Si
0.000 2.603 0.654 Pd
1.908 6.564 3.307 Pd
0.000 5.318 7.268 Pd
0.000 0.654 2.603 Pd
1.908 4.614 1.357 Pd
0.000 7.268 5.318 Pd
1.908 3.307 6.564 Pd
1.908 1.357 4.614 Pd
1.908 0.000 0.000 Th
0.000 3.961 3.961 Th
```

=====

4.
ZrTc2Rh: optimized geometry, GGA-PBE.

distance to the lowest polymorph of the same formula	79	meV per atom
space-group type	No. 216
calculated formation energy	-85	meV/atom
DOS at the Fermi energy	4.76	states/eV per cell

Structure (POSCAR):
```
ZrTc2Rh
1.0
-3.607 1.805 -2.021
-2.971 -2.660 -2.109
-4.112 -0.620 1.750
Tc Zr Rh
2 1 1
Cartesian
-2.673 -0.369 -0.595 Tc
0.000 0.000 0.000 Tc
-8.018 -1.106 -1.785 Zr
-5.346 -0.738 -1.190 Rh
```

=====

5.
SrHg6Au2: optimized geometry, GGA-PBE.

distance to the lowest polymorph of the same formula	0	meV per atom
space-group type	No. 123
calculated formation energy	-212	meV/atom
DOS at the Fermi energy	3.53	states/eV per cell

Structure (POSCAR):
```
SrHg6Au2
1.0
-0.355 -4.449 0.316
3.997 -0.177 2.003
-5.097 1.138 10.272
Hg Au Sr
6 2 1
Cartesian
-2.548 0.569 5.136 Hg
-3.851 -1.404 7.562 Hg
-1.675 0.732 8.405 Hg
-1.601 -1.907 3.027 Hg
0.575 0.229 3.870 Hg
-0.728 -1.744 6.296 Hg
-2.684 -1.307 10.238 Au
1.229 -2.181 2.353 Au
0.000 0.000 0.000 Sr
```

=====

6.
MgAgF4: optimized geometry, GGA-PBE.

distance to the lowest polymorph of the same formula	78	meV per atom
space-group type	No. 140
uncorrected formation energy	-2.22	eV per atom
DOS at the Fermi energy	0.50	states/eV per cell

Structure (POSCAR):
```
MgAgF4
1.0
-2.349 4.170 -2.037
-0.628 -2.548 -4.491
-3.295 -2.665 4.984
Ag F Mg
2 8 2
Cartesian
-1.174 2.085 -1.019 Ag
-0.314 -1.274 -2.246 Ag
-4.086 -1.239 -0.517 F
-3.994 0.430 1.536 F
-2.761 -1.415 2.979 F
-3.511 0.372 -4.524 F
-2.185 0.196 -1.027 F
-3.419 2.040 -2.471 F
-2.277 -1.472 -3.080 F
-2.852 -3.083 0.926 F
-3.880 -0.116 -2.404 Mg
-2.392 -0.927 0.860 Mg
```

=====

Among the records above, which one has the lowest DOS at the Fermi energy?
MgAgF4